Density functional theory data (PBE) for a relaxed structure of HfNbIrW.

Formation energy: -0.38 eV/atom
V: 17.2 A^3/atom
Crystal system: cubic
Size of the total moment: 0.000 μB/atom
Electronic total energy: -10.84 eV/atom

a = 4.599 Å, b = 4.599 Å, c = 4.599 Å
α = 60.00°, β = 60.00°, γ = 60.00°
Sites, in units of the cell vectors:
Nb  0.250  0.250  0.250
Hf  0.750  0.750  0.750
W  0.000  0.000  0.000
Ir  0.500  0.500  0.500